P | The following is a PBE calculation of PrEr2Tl after structural relaxation, from the Alexandria database.

Cell: 4.9228 4.9228 4.8294 Å, 90.00 90.00 90.00°
Space group P4/mmm (No. 123)
Unique sites:
Pr1 0.0000 0.0000 0.0000 x1
Er1 0.0000 0.5000 0.5000 x2
Tl1 0.5000 0.5000 0.0000 x1

***

Q | The following is a PBE calculation of PrEr2Tl after structural relaxation, from the Alexandria database.

Cell: 5.2014 5.2014 16.7069 Å, 90.00 90.00 120.00°
Space group R3m (No. 160, hexagonal axes)
Unique sites:
Pr1 0.0000 0.0000 0.0000 x3
Er1 0.0000 0.0000 0.5497 x3
Er2 0.0000 0.0000 0.7825 x3
Tl1 0.0000 0.0000 0.2190 x3

***

R | The following is a PBE calculation of PrEr2Tl after structural relaxation, from the Alexandria database.

Cell: 3.5039 3.5039 35.7799 Å, 90.00 90.00 120.00°
Space group R-3m (No. 166, hexagonal axes)
Unique sites:
Pr1 0.0000 0.0000 0.0000 x3
Er1 0.0000 0.0000 0.0959 x6
Tl1 0.0000 0.0000 0.5000 x3

***

S | The following is a PBE calculation of PrEr2Tl after structural relaxation, from the Alexandria database.

Cell: 4.6544 12.5569 8.6691 Å, 90.00 90.00 90.00°
Space group Cmcm (No. 63)
Unique sites:
Pr1 0.0000 0.0567 0.2500 x4
Er1 0.0000 0.3642 0.0512 x8
Tl1 0.0000 0.2315 0.7500 x4

***

It comes down to P, which is 67 meV per atom more stable than the next structure.

***

P | The following is a PBE calculation of PrEr2Tl after structural relaxation, from the Alexandria database.

Cell: 7.7651 7.7651 7.7651 Å, 90.00 90.00 90.00°
Space group Fm-3m (No. 225)
Unique sites:
Pr1 0.0000 0.0000 0.0000 x4
Er1 0.2500 0.2500 0.2500 x8
Tl1 0.0000 0.0000 0.5000 x4

***

Q | The following is a PBE calculation of PrEr2Tl after structural relaxation, from the Alexandria database.

Cell: 4.7451 4.8533 11.1494 Å, 90.00 102.21 90.00°
Space group P2_1/m (No. 11)
Unique sites:
Pr1 0.1916 0.2500 0.3840 x2
Er1 0.0560 0.7500 0.1120 x2
Er2 0.4373 0.7500 0.8742 x2
Tl1 0.3401 0.2500 0.6786 x2

***

It comes down to Q, which is 183 meV per atom more stable than the next structure.

***

P | The following is a PBE calculation of Pr2Er2Tl after structural relaxation, from the Alexandria database.

Cell: 5.1809 17.2493 6.8524 Å, 90.00 90.00 90.00°
Space group Cmc2_1 (No. 36)
Unique sites:
Pr1 0.0000 0.0036 0.0000 x4
Pr2 0.0000 0.1994 0.0008 x4
Er1 0.0000 0.1916 0.4834 x4
Er2 0.0000 0.3899 0.2454 x4
Tl1 0.0000 0.3980 0.7502 x4

***

Q | The following is a PBE calculation of Pr2Er2Tl after structural relaxation, from the Alexandria database.

Cell: 5.4971 5.4971 12.2310 Å, 90.00 90.00 120.00°
Space group P6_3/mmc (No. 194)
Unique sites:
Pr1 0.3333 0.6667 0.0868 x4
Er1 0.0000 0.0000 0.0000 x2
Er2 0.3333 0.6667 0.7500 x2
Tl1 0.0000 0.0000 0.2500 x2

***

It comes down to P, which is 76 meV per atom more stable than the next structure.

***

P | The following is a PBE calculation of Pr2ErTl2 after structural relaxation, from the Alexandria database.

Cell: 8.2143 8.2143 4.6718 Å, 90.00 90.00 90.00°
Space group P4/mbm (No. 127)
Unique sites:
Pr1 0.1710 0.3290 0.0000 x4
Er1 0.0000 0.0000 0.5000 x2
Tl1 0.1314 0.6314 0.5000 x4

***

Q | The following is a PBE calculation of Pr2ErTl2 after structural relaxation, from the Alexandria database.

Cell: 5.1174 17.8936 6.6874 Å, 90.00 90.00 90.00°
Space group Cmc2_1 (No. 36)
Unique sites:
Pr1 0.0000 0.0077 0.0000 x4
Pr2 0.0000 0.2016 0.4567 x4
Er1 0.0000 0.3903 0.2386 x4
Tl1 0.0000 0.1922 0.9634 x4
Tl2 0.0000 0.4094 0.7496 x4

***

It comes down to P, which is 77 meV per atom more stable than the next structure.